# AcNb2O5

Crystalline AcNb2O5 at its relaxed geometry (PBE-GGA, Alexandria via LeMat-Bulk).

a = 3.168 Å, b = 5.762 Å, c = 10.659 Å
α = 90.00°, β = 90.00°, γ = 90.00°
Space group Immm (No. 71)
Symmetry-distinct sites (fractional):
Ac (0.000, 0.000, 0.000) (multiplicity 2)
Nb (0.000, 0.500, 0.187) (multiplicity 4)
O (0.000, 0.270, 0.348) (multiplicity 8)
O (0.000, 0.500, 0.000) (multiplicity 2)

Output
- ρ (g cm⁻³) = 8.4
- formation energy from raw total energies (eV/atom) = -2.549

***

# Mg2InC

Crystalline Mg2InC at its relaxed geometry (PBE-GGA, Alexandria via LeMat-Bulk).

a = 7.787 Å, b = 7.787 Å, c = 5.094 Å
α = 90.00°, β = 90.00°, γ = 90.00°
Space group I-42d (No. 122)
Symmetry-distinct sites (fractional):
Mg (0.118, 0.250, 0.125) (multiplicity 8)
In (0.000, 0.000, 0.500) (multiplicity 4)
C (0.000, 0.000, 0.000) (multiplicity 4)

Output
- ρ (g cm⁻³) = 3.8
- energy (eV per atom) = -3.201

***

# Mo3OsBr

Crystalline Mo3OsBr at its relaxed geometry (PBE-GGA, Alexandria via LeMat-Bulk).

a = 4.517 Å, b = 4.517 Å, c = 4.517 Å
α = 90.00°, β = 90.00°, γ = 90.00°
Space group Pm-3m (No. 221)
Symmetry-distinct sites (fractional):
Mo (0.000, 0.000, 0.500) (multiplicity 3)
Os (0.500, 0.500, 0.500) (multiplicity 1)
Br (0.000, 0.000, 0.000) (multiplicity 1)

Output
- ρ (g cm⁻³) = 10.1
- formation energy from raw total energies (eV/atom) = 1.954

***

# Sb2RhBr

Crystalline Sb2RhBr at its relaxed geometry (PBE-GGA, Alexandria via LeMat-Bulk).

a = 7.011 Å, b = 7.011 Å, c = 7.011 Å
α = 90.00°, β = 90.00°, γ = 90.00°
Space group Fm-3m (No. 225)
Symmetry-distinct sites (fractional):
Sb (0.250, 0.250, 0.250) (multiplicity 8)
Rh (0.000, 0.000, 0.000) (multiplicity 4)
Br (0.000, 0.000, 0.500) (multiplicity 4)

Output
- ρ (g cm⁻³) = 8.2
- formation energy from raw total energies (eV/atom) = 0.278

***

# Li6Si2Hg

Crystalline Li6Si2Hg at its relaxed geometry (PBE-GGA, Alexandria via LeMat-Bulk).

a = 7.6275 Å, b = 7.6275 Å, c = 8.0146 Å
α = 90.00°, β = 90.00°, γ = 120.00°
Space group R-3m (No. 166, hexagonal axes)
Symmetry-distinct sites (fractional):
Li (0.0000, 0.3289, 0.0000) (multiplicity 18)
Si (0.0000, 0.0000, 0.1607) (multiplicity 6)
Hg (0.0000, 0.0000, 0.5000) (multiplicity 3)

Output
- ρ (g cm⁻³) = 3.7
- formation energy from raw total energies (eV/atom) = -0.227

***

# La2ZnRu

Crystalline La2ZnRu at its relaxed geometry (PBE-GGA, Alexandria via LeMat-Bulk).

a = 12.204 Å, b = 3.566 Å, c = 4.838 Å
α = 90.00°, β = 113.31°, γ = 90.00°
Space group Cm (No. 8)
Symmetry-distinct sites (fractional):
La (0.000, 0.000, 0.000) (multiplicity 2)
La (0.199, 0.000, 0.699) (multiplicity 2)
Zn (0.398, 0.000, 0.398) (multiplicity 2)
Ru (0.227, 0.500, 0.226) (multiplicity 2)

Output
- ρ (g cm⁻³) = 7.6
- energy (eV per atom) = -5.278

***

# Ac2CuIr

Crystalline Ac2CuIr at its relaxed geometry (PBE-GGA, Alexandria via LeMat-Bulk).

a = 6.131 Å, b = 4.543 Å, c = 8.347 Å
α = 90.00°, β = 110.22°, γ = 90.00°
Space group P2_1/m (No. 11)
Symmetry-distinct sites (fractional):
Ac (0.223, 0.250, 0.438) (multiplicity 2)
Ac (0.231, 0.250, 0.927) (multiplicity 2)
Cu (0.358, 0.750, 0.215) (multiplicity 2)
Ir (0.346, 0.750, 0.714) (multiplicity 2)

Output
- ρ (g cm⁻³) = 10.8
- energy (eV per atom) = -5.743

***

# Pu2GeIr

Crystalline Pu2GeIr at its relaxed geometry (PBE-GGA, Alexandria via LeMat-Bulk).

a = 4.5396 Å, b = 4.5396 Å, c = 13.8262 Å
α = 90.00°, β = 90.00°, γ = 120.00°
Space group R3m (No. 160, hexagonal axes)
Symmetry-distinct sites (fractional):
Pu (0.0000, 0.0000, 0.0000) (multiplicity 3)
Pu (0.0000, 0.0000, 0.2247) (multiplicity 3)
Ge (0.0000, 0.0000, 0.7708) (multiplicity 3)
Ir (0.0000, 0.0000, 0.4544) (multiplicity 3)

Output
- ρ (g cm⁻³) = 15.2
- energy (eV per atom) = -10.957

***

# LiPrSnIr

Crystalline LiPrSnIr at its relaxed geometry (PBE-GGA, Alexandria via LeMat-Bulk).

a = 6.867 Å, b = 6.867 Å, c = 6.867 Å
α = 90.00°, β = 90.00°, γ = 90.00°
Space group F-43m (No. 216)
Symmetry-distinct sites (fractional):
Li (0.000, 0.000, 0.000) (multiplicity 4)
Pr (0.250, 0.250, 0.750) (multiplicity 4)
Sn (0.250, 0.250, 0.250) (multiplicity 4)
Ir (0.000, 0.000, 0.500) (multiplicity 4)

Output
- ρ (g cm⁻³) = 9.4
- energy (eV per atom) = -5.432

***

# PuU2CrN4

Crystalline PuU2CrN4 at its relaxed geometry (PBE-GGA, Alexandria via LeMat-Bulk).

a = 3.303 Å, b = 11.507 Å, c = 11.286 Å
α = 90.00°, β = 90.00°, γ = 90.00°
Space group Cmcm (No. 63)
Symmetry-distinct sites (fractional):
Pu (0.000, 0.103, 0.250) (multiplicity 4)
U (0.000, 0.367, 0.055) (multiplicity 8)
Cr (0.000, 0.160, 0.750) (multiplicity 4)
N (0.000, 0.000, 0.000) (multiplicity 4)
N (0.000, 0.274, 0.621) (multiplicity 8)
N (0.000, 0.446, 0.250) (multiplicity 4)

Output
- ρ (g cm⁻³) = 12.8
- formation energy from raw total energies (eV/atom) = -1.096

***

# LiSn2Sb

Crystalline LiSn2Sb at its relaxed geometry (PBE-GGA, Alexandria via LeMat-Bulk).

a = 4.9408 Å, b = 4.9408 Å, c = 14.9187 Å
α = 90.00°, β = 90.00°, γ = 120.00°
Space group R-3m (No. 166, hexagonal axes)
Symmetry-distinct sites (fractional):
Li (0.0000, 0.0000, 0.0000) (multiplicity 3)
Sn (0.0000, 0.0000, 0.2727) (multiplicity 6)
Sb (0.0000, 0.0000, 0.5000) (multiplicity 3)

Output
- ρ (g cm⁻³) = 5.8
- formation energy from raw total energies (eV/atom) = -0.004

***

# RbIrOs

Crystalline RbIrOs at its relaxed geometry (PBE-GGA, Alexandria via LeMat-Bulk).

a = 5.275 Å, b = 4.130 Å, c = 7.037 Å
α = 90.00°, β = 94.99°, γ = 90.00°
Space group P2_1/m (No. 11)
Symmetry-distinct sites (fractional):
Rb (0.245, 0.250, 0.422) (multiplicity 2)
Ir (0.380, 0.750, 0.053) (multiplicity 2)
Os (0.113, 0.250, 0.942) (multiplicity 2)

Output
- ρ (g cm⁻³) = 10.2
- energy (eV per atom) = -6.476